# Li2Fe3NiO8 (PBE with a Hubbard U, relaxed)
# Final energy ... -239.973 eV/cell
# Magnetization ... 24.00 μB per cell
# Theoretical density ... 4.3 g/cm3
# Energy above the most stable polymorph in this dataset ... 3.0 kJ/mol of atoms
# N(E_F) ... 1.18 states/eV/cell
data_Li2Fe3NiO8
_chemical_formula_sum 'Li6 Fe9 Ni3 O24'
_space_group_name_H-M_alt 'R -3 m'
_space_group_IT_number 166
_space_group_name_Hall '-R 3 2"'
_cell_length_a 5.7894
_cell_length_b 5.7894
_cell_length_c 14.5500
_cell_angle_alpha 90.00
_cell_angle_beta 90.00
_cell_angle_gamma 120.00
loop_
_atom_site_label
_atom_site_type_symbol
_atom_site_fract_x
_atom_site_fract_y
_atom_site_fract_z
Li1 Li 0.0000 0.0000 0.1191
Fe1 Fe 0.0000 0.5000 0.0000
Ni1 Ni 0.0000 0.0000 0.5000
O1 O 0.0000 0.0000 0.2621
O2 O 0.0283 0.5142 0.2621